1.
Ba4NaMg | PBE | optimized geometry

Lattice parameters (Å, degrees): 10.915 6.314 10.928 90.00 109.56 90.00
Space group C2/m (No. 12)
Asymmetric unit:
Ba (0.117, 0.000, 0.352) (multiplicity 4)
Ba (0.133, 0.500, 0.900) (multiplicity 4)
Na (0.000, 0.500, 0.500) (multiplicity 2)
Mg (0.000, 0.000, 0.000) (multiplicity 2)

Computed properties:
The value obtained for the density of states at the Fermi level is 9.9 states/eV/f.u. The value obtained for the formation energy is 14.9 kJ/mol of atoms.

2.
Rb2NaNp3O12 | PBE | optimized geometry

Lattice parameters (Å, degrees): 8.0795 8.0795 17.9192 90.00 90.00 120.00
Space group R-3m (No. 166, hexagonal axes)
Asymmetric unit:
Rb (0.0000, 0.0000, 0.1215) (multiplicity 6)
Na (0.0000, 0.0000, 0.5000) (multiplicity 3)
Np (0.0000, 0.5000, 0.0000) (multiplicity 9)
O (0.0193, 0.5097, 0.1032) (multiplicity 18)
O (0.0790, 0.5395, 0.3395) (multiplicity 18)

Computed properties:
The value obtained for the formation energy (no corrections) is -2440 meV/atom.

3.
SrZrAs2 | PBE | optimized geometry

Lattice parameters (Å, degrees): 3.473 3.473 7.573 90.00 90.00 90.00
Space group P4/mmm (No. 123)
Asymmetric unit:
Sr (0.000, 0.000, 0.000) (multiplicity 1)
Zr (0.000, 0.000, 0.500) (multiplicity 1)
As (0.500, 0.500, 0.288) (multiplicity 2)

Computed properties:
The value obtained for the density of states at the Fermi level is 2.5 states/eV/f.u. The value obtained for the formation energy is -80.5 kJ/mol of atoms.

4.
TbPd5Au2 | PBE | optimized geometry

Lattice parameters (Å, degrees): 4.124 4.124 16.168 90.00 90.00 90.00
Space group I4/mmm (No. 139)
Asymmetric unit:
Tb (0.000, 0.000, 0.000) (multiplicity 2)
Pd (0.000, 0.000, 0.500) (multiplicity 2)
Pd (0.000, 0.500, 0.127) (multiplicity 8)
Au (0.000, 0.000, 0.251) (multiplicity 4)

Computed properties:
The value obtained for the density of states at the Fermi level is 6.2 states/eV/f.u. The value obtained for the formation energy is -45.5 kJ/mol of atoms.